Density functional theory data (PBE) for a relaxed structure of LiZrHgPb.

```
LiZrHgPb
1.0
-4.167 2.750 -0.165
-4.294 -2.059 -1.507
-3.666 -0.821 3.292
Hg Zr Li Pb
1 1 1 1
Cartesian
-9.096 -0.097 1.215
-6.064 -0.065 0.810
0.000 0.000 0.000
-3.032 -0.032 0.405
```

## Properties
SG: F-43m (216)
Crystal system: cubic
Polymorph energy (0 for the lowest one) in meV/atom: 95.9
Volume in Å³/atom: 22.03
Formation enthalpy at 0 K in eV/atom: -0.110
DFT total energy in eV for the cell shown: -14.91



Density functional theory data (PBE) for a relaxed structure of ScAl2In.

```
ScAl2In
1.0
-4.708 3.887 -4.788
4.140 -2.473 -6.078
-2.004 -1.643 -5.649
Al In Sc
4 2 2
Cartesian
-1.795 -0.655 -8.196
1.588 -1.545 -5.718
-1.921 -0.042 -13.861
-3.016 1.784 -5.256
0.000 0.000 0.000
-3.498 1.475 -7.935
-0.284 0.707 -5.433
0.926 -1.704 -8.580
```

## Properties
SG: I-42d (122)
Crystal system: tetragonal
Volume in Å³/atom: 21.98
Formation enthalpy at 0 K in eV/atom: 0.061
DFT total energy in eV for the cell shown: -32.63